Compound: Be3GeBi
Source: Alexandria
Functional: PBE-GGA
Structure: relaxed

Cell lengths 4.7629, 4.7629, 4.7629 Å; angles 90.00, 90.00, 90.00 degrees
Closest atoms and distances in Å follow each position.
Fractional coordinates of all 5 atoms:
Be 0.0000 0.0000 0.5000  2 Bi 2.38
Be 0.0000 0.5000 0.0000  2 Bi 2.38
Be 0.5000 0.0000 0.0000  2 Bi 2.38
Ge 0.5000 0.5000 0.5000  12 Be 3.37
Bi 0.0000 0.0000 0.0000  6 Be 2.38

Computed properties:
Its formation enthalpy at 0 K is 1.535 eV per atom. The volume comes out at 21.61 Å³ per atom. The raw total energy is -2.401 eV/atom. As for the energy above the most stable polymorph in this dataset: 0.7224 eV/atom.